1.
Here is an optimized crystal structure of Pm6SnP3S2 from the Alexandria database. Energies are from PBE.

Structure (extended XYZ):
```
12
Lattice="-2.787 -0.161 -3.043 5.941 -2.694 -5.298 -1.969 -7.621 5.009" Properties=species:S:1:pos:R:3 pbc="T T T"
Pm -0.405 -9.746 -1.915
Pm 3.250 -7.503 -2.579
Pm -2.065 -2.973 -0.754
Pm 0.994 -4.213 -3.489
Pm 1.590 -0.730 -1.417
Pm 0.192 -6.263 0.156
P 1.577 -1.428 -4.171
P -2.635 -5.674 -0.088
P 3.821 -4.802 -3.244
S 0.313 -6.944 -2.721
S 0.872 -3.532 -0.611
Sn -1.393 -0.081 -1.522
```

Calculated values
Calculated density   6.194 g cm⁻³
Crystal system   monoclinic
SG   No. 12
Total magnetic moment   0.00 μB/f.u.
DOS at the Fermi energy   0.2375 states/eV per atom

2.
Here is an optimized crystal structure of Pm4SnPS2 from the Alexandria database. Energies are from PBE.

Structure (extended XYZ):
```
8
Lattice="-3.915 1.394 0.375 -0.945 -0.733 -7.139 -2.523 -6.696 -1.448" Properties=species:S:1:pos:R:3 pbc="T T T"
Pm -4.060 -4.438 -2.668
Pm -3.324 -1.597 -5.544
Pm -4.812 -0.560 -1.718
Pm -2.572 -5.475 -6.493
S -3.219 -2.651 -0.536
S -2.523 -6.696 -1.448
Sn -2.430 0.331 -3.382
P -1.734 -3.715 -4.293
```

Calculated values
Calculated density   6.340 g cm⁻³
Crystal system   monoclinic
SG   No. 10
Total magnetic moment   0.00 μB/f.u.
DOS at the Fermi energy   0.2980 states/eV per atom

3.
Here is an optimized crystal structure of Pm8Te4PS3 from the Alexandria database. Energies are from PBE.

Structure (extended XYZ):
```
16
Lattice="-7.881 2.353 1.746 1.627 -0.835 8.466 4.944 4.977 -4.634" Properties=species:S:1:pos:R:3 pbc="T T T"
Pm 1.008 3.010 0.495
Pm -2.318 3.485 5.084
Pm 4.113 4.804 1.891
Pm 0.142 5.989 2.771
Pm 1.622 2.296 4.226
Pm -1.452 0.506 2.808
Pm -2.932 4.199 1.353
Pm -5.423 1.691 3.687
P 0.813 -0.417 4.233
Te -1.468 3.665 -1.444
Te 0.000 0.000 0.000
Te 2.472 2.488 -2.317
Te -3.940 1.176 0.873
S -0.655 3.248 2.789
S 3.285 2.071 1.916
S -3.127 0.759 5.106
```

Calculated values
Calculated density   6.797 g cm⁻³
Crystal system   trigonal
SG   No. 166
Total magnetic moment   0.00 μB/f.u.
DOS at the Fermi energy   0.2848 states/eV per atom

4.
Here is an optimized crystal structure of Pm6Te3P2S from the Alexandria database. Energies are from PBE.

Structure (extended XYZ):
```
12
Lattice="4.215 0.000 0.000 0.000 8.715 0.100 -2.107 -2.727 9.052" Properties=species:S:1:pos:R:3 pbc="T T T"
S 2.107 0.000 0.000
Pm 2.107 0.058 2.901
Pm 0.000 1.948 0.200
Pm 2.107 3.940 3.232
Pm 0.000 2.049 5.920
Pm 2.107 4.040 8.952
Pm 0.000 5.930 6.251
Te 2.107 -0.369 6.065
Te 0.000 6.357 3.087
Te 2.107 4.358 0.050
P 0.000 1.989 3.046
P 2.107 3.999 6.106
```

Calculated values
Calculated density   6.703 g cm⁻³
Crystal system   monoclinic
SG   No. 12
Total magnetic moment   0.00 μB/f.u.
DOS at the Fermi energy   0.3955 states/eV per atom

5.
Here is an optimized crystal structure of Pm6TeP2S3 from the Alexandria database. Energies are from PBE.

Structure (extended XYZ):
```
12
Lattice="4.126 0.000 0.000 0.000 8.336 0.359 -2.063 -2.341 8.698" Properties=species:S:1:pos:R:3 pbc="T T T"
Pm 0.000 2.302 0.189
Pm 2.063 0.021 3.108
Pm 0.000 1.960 5.909
Pm 0.000 5.974 5.949
Pm 2.063 3.693 8.868
Pm 2.063 4.035 3.149
S 0.000 6.199 3.130
S 2.063 -0.204 5.927
S 2.063 4.168 0.179
P 0.000 2.008 3.037
P 2.063 3.987 6.020
Te 2.063 0.000 0.000
```

Calculated values
Calculated density   6.341 g cm⁻³
Crystal system   monoclinic
SG   No. 12
Total magnetic moment   0.00 μB/f.u.
DOS at the Fermi energy   0.3242 states/eV per atom

6.
Here is an optimized crystal structure of Pm4TePS2 from the Alexandria database. Energies are from PBE.

Structure (extended XYZ):
```
8
Lattice="-1.108 -3.972 0.297 5.526 -1.853 -4.158 5.860 -1.318 4.252" Properties=species:S:1:pos:R:3 pbc="T T T"
Pm 5.083 -3.404 2.226
Pm 8.469 -2.375 -0.155
Pm 1.809 -4.768 0.546
Pm 5.195 -3.738 -1.835
S 5.860 -1.318 4.252
S 2.376 -2.645 2.274
P 5.693 -1.585 0.047
Te 2.209 -2.912 -1.931
```

Calculated values
Calculated density   6.471 g cm⁻³
Crystal system   monoclinic
SG   No. 10
Total magnetic moment   0.00 μB/f.u.
DOS at the Fermi energy   0.3885 states/eV per atom

7.
Here is an optimized crystal structure of Pm8Te3P3S from the Alexandria database. Energies are from PBE.

Structure (extended XYZ):
```
15
Lattice="-4.483 0.738 -7.015 -3.865 -0.940 7.350 3.931 7.530 -1.720" Properties=species:S:1:pos:R:3 pbc="T T T"
Pm -0.122 5.110 0.615
Pm -0.166 2.318 -2.166
Pm -2.034 4.646 4.251
Pm -2.076 1.879 1.524
Pm -4.295 2.219 -2.000
Pm -4.251 5.011 0.781
Pm -2.383 2.683 -5.636
Pm -2.341 5.450 -2.909
Te -4.174 -0.101 0.167
Te -1.933 -0.470 3.675
Te 0.000 0.000 0.000
S 1.965 3.765 -0.860
P -0.276 4.134 -4.367
P -2.208 3.664 -0.692
P 0.033 3.295 2.815
```

Calculated values
Calculated density   6.359 g cm⁻³
Crystal system   trigonal
SG   No. 166
Total magnetic moment   0.00 μB/f.u.
DOS at the Fermi energy   0.4409 states/eV per atom

8.
Here is an optimized crystal structure of Pm6TlP2S3 from the Alexandria database. Energies are from PBE.

Structure (extended XYZ):
```
12
Lattice="-2.331 -0.689 -3.315 -6.601 -1.493 4.952 0.641 9.251 0.176" Properties=species:S:1:pos:R:3 pbc="T T T"
Pm -6.497 7.442 0.474
Pm -6.320 4.465 3.517
Pm -1.794 -0.373 1.339
Pm -5.159 1.811 0.703
Pm -1.971 2.604 -1.704
Pm -3.132 5.259 1.110
S -5.664 1.726 3.625
S -4.466 -1.091 0.819
S -2.627 5.344 -1.812
P -2.389 2.489 1.163
P -5.902 4.581 0.650
Tl -1.166 -0.344 -1.658
```

Calculated values
Calculated density   6.739 g cm⁻³
Crystal system   monoclinic
SG   No. 12
Total magnetic moment   0.00 μB/f.u.
DOS at the Fermi energy   0.3476 states/eV per atom

9.
Here is an optimized crystal structure of Pm8Tl4PS3 from the Alexandria database. Energies are from PBE.

Structure (extended XYZ):
```
16
Lattice="-3.147 2.658 -6.850 -8.149 -3.769 2.281 3.027 5.197 5.289" Properties=species:S:1:pos:R:3 pbc="T T T"
S -2.561 0.714 3.785
S -5.648 -0.555 -2.284
S -4.134 2.043 0.360
Pm -5.121 4.349 1.695
Pm -3.147 -0.263 -0.975
Pm -6.641 1.740 -0.937
Pm -1.628 2.346 1.658
Pm -4.730 1.074 -4.419
Pm -5.062 0.398 2.480
Pm -3.539 3.012 5.140
Pm -3.206 3.688 -1.759
P -4.075 -1.884 1.141
Tl -0.060 3.927 -0.780
Tl 0.000 0.000 0.000
Tl 1.514 2.598 2.645
Tl -1.573 1.329 -3.425
```

Calculated values
Calculated density   7.856 g cm⁻³
Crystal system   monoclinic
SG   No. 12
Total magnetic moment   0.00 μB/f.u.
DOS at the Fermi energy   0.6936 states/eV per atom

10.
Here is an optimized crystal structure of PmTlP2S8 from the Alexandria database. Energies are from PBE.

Structure (extended XYZ):
```
12
Lattice="-4.524 -2.782 3.251 0.134 -6.164 0.876 3.352 -1.779 9.106" Properties=species:S:1:pos:R:3 pbc="T T T"
S 2.536 -4.327 8.080
S -0.302 -3.734 9.755
S -0.737 -6.990 3.478
S -1.914 -3.865 3.724
S 0.762 -2.426 4.949
S -1.801 -8.298 8.284
S -3.575 -6.397 5.153
S 0.875 -6.859 9.508
P -0.304 -2.692 3.237
P -0.735 -8.032 9.996
Tl -0.519 -5.362 6.616
Pm 0.000 0.000 0.000
```

Calculated values
Calculated density   3.595 g cm⁻³
Crystal system   trigonal
SG   No. 148
Total magnetic moment   2.05 μB/f.u.
DOS at the Fermi energy   0.7094 states/eV per atom

11.
Here is an optimized crystal structure of PmTmPS from the Alexandria database. Energies are from PBE.

Structure (extended XYZ):
```
4
Lattice="-0.252 0.445 -3.953 -3.557 -0.104 -1.795 -1.846 6.606 -1.147" Properties=species:S:1:pos:R:3 pbc="T T T"
Pm -4.343 6.357 -5.035
P -3.914 1.519 -5.608
Tm -1.506 2.769 -1.601
S -2.916 4.473 -3.329
```

Calculated values
Calculated density   6.933 g cm⁻³
Crystal system   trigonal
SG   No. 160
Total magnetic moment   0.00 μB/f.u.
DOS at the Fermi energy   0.3904 states/eV per atom

12.
Here is an optimized crystal structure of Pm5Sb4P from the Alexandria database. Energies are from PBE.

Structure (extended XYZ):
```
10
Lattice="-2.531 3.508 0.967 -3.638 -2.448 -0.643 3.173 -4.620 14.912" Properties=species:S:1:pos:R:3 pbc="T T T"
Sb 0.071 -3.278 12.083
Sb -3.067 -0.282 3.153
Sb -3.031 -1.945 9.282
Sb 0.035 -1.615 5.954
Pm -3.049 -1.109 6.201
Pm 0.053 -2.451 9.035
Pm -3.085 0.530 0.162
Pm -3.012 -2.799 12.429
Pm 0.017 -0.762 2.807
P 0.000 0.000 0.000
```

Calculated values
Calculated density   6.728 g cm⁻³
Crystal system   tetragonal
SG   No. 139
Total magnetic moment   0.00 μB/f.u.
Energy relative to the lowest polymorph listed for this composition   5 meV/atom
DOS at the Fermi energy   0.1310 states/eV per atom

13.
Here is an optimized crystal structure of Pm2SbP from the Alexandria database. Energies are from PBE.

Structure (extended XYZ):
```
4
Lattice="4.245 0.000 0.000 2.122 3.676 0.000 2.122 1.225 7.356" Properties=species:S:1:pos:R:3 pbc="T T T"
P 6.367 3.676 7.328
Pm 2.122 1.225 1.634
Pm 2.122 1.225 5.732
Sb 4.245 2.451 3.697
```

Calculated values
Calculated density   6.405 g cm⁻³
Crystal system   trigonal
SG   No. 160
Total magnetic moment   0.00 μB/f.u.
Energy relative to the lowest polymorph listed for this composition   101 meV/atom
DOS at the Fermi energy   0.3890 states/eV per atom

14.
Here is an optimized crystal structure of Pm4Sb2P from the Alexandria database. Energies are from PBE.

Structure (extended XYZ):
```
7
Lattice="-1.452 2.759 -4.241 1.047 -4.153 -3.060 -7.463 -1.917 4.575" Properties=species:S:1:pos:R:3 pbc="T T T"
Pm -0.726 1.380 -2.120
Pm 0.523 -2.076 -1.530
Pm -5.267 -2.424 -3.040
Pm -2.601 -0.887 0.314
Sb -2.277 -1.404 -3.400
Sb -5.591 -1.906 0.674
P 0.000 0.000 0.000
```

Calculated values
Calculated density   6.283 g cm⁻³
Crystal system   tetragonal
SG   No. 139
Total magnetic moment   0.00 μB/f.u.
Energy relative to the lowest polymorph listed for this composition   212 meV/atom
DOS at the Fermi energy   0.8397 states/eV per atom

15.
Here is an optimized crystal structure of Pm3SbP from the Alexandria database. Energies are from PBE.

Structure (extended XYZ):
```
5
Lattice="-3.495 2.809 -2.983 -3.922 -1.159 3.504 1.185 4.446 2.798" Properties=species:S:1:pos:R:3 pbc="T T T"
P 0.000 0.000 0.000
Pm -1.961 -0.579 1.752
Pm -1.747 1.404 -1.491
Pm 0.593 2.223 1.399
Sb -3.116 3.048 1.659
```

Calculated values
Calculated density   6.249 g cm⁻³
Crystal system   cubic
SG   No. 221
Total magnetic moment   0.00 μB/f.u.
Energy relative to the lowest polymorph listed for this composition   374 meV/atom
DOS at the Fermi energy   0.8273 states/eV per atom

16.
Here is an optimized crystal structure of Pm6SbP5 from the Alexandria database. Energies are from PBE.

Structure (extended XYZ):
```
12
Lattice="7.138 -0.108 -1.346 -3.854 6.009 -1.346 0.138 0.248 7.251" Properties=species:S:1:pos:R:3 pbc="T T T"
P -0.191 3.970 -1.346
P 1.711 3.074 2.279
P -1.984 5.130 2.279
P 3.475 1.930 -1.346
P 5.406 1.018 2.279
Pm 0.623 5.616 3.395
Pm 4.444 3.490 3.395
Pm -1.023 2.659 1.163
Pm 2.799 0.532 1.163
Pm 2.461 4.422 -0.123
Pm 0.961 1.726 4.682
Sb 0.000 0.000 0.000
```

Calculated values
Calculated density   6.088 g cm⁻³
Crystal system   monoclinic
SG   No. 12
Total magnetic moment   0.00 μB/f.u.
DOS at the Fermi energy   0.1524 states/eV per atom

17.
Here is an optimized crystal structure of Pm2SbP from the Alexandria database. Energies are from PBE.

Structure (extended XYZ):
```
4
Lattice="-4.905 -1.564 -1.189 -2.028 -4.306 2.293 -3.864 0.480 3.571" Properties=species:S:1:pos:R:3 pbc="T T T"
Sb -5.399 -2.695 2.337
P 0.000 0.000 0.000
Pm -2.699 -1.347 1.169
Pm -8.098 -4.042 3.506
```

Calculated values
Calculated density   7.049 g cm⁻³
Crystal system   cubic
SG   No. 225
Total magnetic moment   0.00 μB/f.u.
Energy relative to the lowest polymorph listed for this composition   474 meV/atom
DOS at the Fermi energy   0.7387 states/eV per atom

18.
Here is an optimized crystal structure of Pm2SbP from the Alexandria database. Energies are from PBE.

Structure (extended XYZ):
```
16
Lattice="-3.002 0.651 3.101 4.027 -4.120 4.763 7.135 12.037 4.380" Properties=species:S:1:pos:R:3 pbc="T T T"
Sb 9.036 6.750 8.867
Sb 2.685 2.370 6.710
Sb 5.474 6.197 5.534
Sb -0.877 1.817 3.377
Pm 5.945 3.088 6.642
Pm 2.215 5.479 5.602
Pm 7.419 11.032 6.403
Pm 3.772 8.972 6.376
Pm 2.481 1.835 3.552
Pm 4.388 -0.404 5.868
Pm 5.679 6.732 8.692
Pm 0.740 -2.465 5.842
P 2.339 -0.997 4.009
P 5.821 9.564 8.235
P 5.744 3.978 9.333
P 2.416 4.590 2.911
```

Calculated values
Calculated density   6.148 g cm⁻³
Crystal system   orthorhombic
SG   No. 62
Total magnetic moment   0.00 μB/f.u.
Energy relative to the lowest polymorph listed for this composition   125 meV/atom
DOS at the Fermi energy   0.0769 states/eV per atom

19.
Here is an optimized crystal structure of PmSbP from the Alexandria database. Energies are from PBE.

Structure (extended XYZ):
```
6
Lattice="5.167 0.000 0.000 2.583 4.474 0.000 2.583 1.491 7.202" Properties=species:S:1:pos:R:3 pbc="T T T"
Pm 5.167 2.983 5.635
Pm 5.167 2.983 1.567
P 7.750 4.474 5.969
P 2.583 1.491 1.233
Sb 2.583 1.491 3.784
Sb 7.750 4.474 3.418
```

Calculated values
Calculated density   5.938 g cm⁻³
Crystal system   trigonal
SG   No. 166
Total magnetic moment   0.00 μB/f.u.
Energy relative to the lowest polymorph listed for this composition   81 meV/atom
DOS at the Fermi energy   0.4128 states/eV per atom

20.
Here is an optimized crystal structure of Pm4Sb2P from the Alexandria database. Energies are from PBE.

Structure (extended XYZ):
```
7
Lattice="4.315 0.000 0.000 0.000 8.573 -1.191 -2.157 -5.141 6.223" Properties=species:S:1:pos:R:3 pbc="T T T"
Pm 2.157 0.568 1.730
Pm 2.157 -2.572 5.039
Pm 0.000 2.864 3.303
Pm 0.000 6.003 -0.006
Sb 2.157 3.814 1.127
Sb 0.000 -0.383 3.905
P 0.000 0.000 0.000
```

Calculated values
Calculated density   6.963 g cm⁻³
Crystal system   monoclinic
SG   No. 12
Total magnetic moment   0.00 μB/f.u.
Energy relative to the lowest polymorph listed for this composition   0 meV/atom
DOS at the Fermi energy   0.8748 states/eV per atom

| no. | ΔE_f (raw) (eV/atom) |
| --- | --- |
| 1 | -1.587 |
| 2 | -1.563 |
| 3 | -1.706 |
| 4 | -1.639 |
| 5 | -1.800 |
| 6 | -1.770 |
| 7 | -1.495 |
| 8 | -1.581 |
| 9 | -1.139 |
| 10 | -0.442 |
| 11 | -1.847 |
| 12 | -1.225 |
| 13 | -1.245 |
| 14 | -0.871 |
| 15 | -0.761 |
| 16 | -1.471 |
| 17 | -0.871 |
| 18 | -1.220 |
| 19 | -0.648 |
| 20 | -1.082 |